A relaxed Zr3Mo crystal. Source: the Alexandria database, functional PBE-GGA.

Cell: 3.084 3.084 9.687 Å, 90.00 90.00 114.51°
Atoms (fractional coordinates):
Zr (0.500, 0.500, 0.222)
Zr (0.500, 0.500, 0.778)
Zr (0.000, 0.000, 0.500)
Mo (0.000, 0.000, 0.000)

## Properties
Space group: No. 65
Distance to the lowest polymorph of the same formula, meV per atom: 77.0
DOS at the Fermi energy, states/eV per cell: 4.40
Magnetization, μB per formula unit: 0.00
Energy relative to the elements, kJ per mole of atoms: 6.73
E, eV/cell: -36.2